This record from the Alexandria database describes a geometry-optimized SnSbAu structure. The functional is PBE-GGA.

```
3
Lattice="5.054 0.000 0.000 0.000 4.188 0.000 0.000 -2.094 3.627" Properties=species:S:1:pos:R:3 pbc="T T T"
Sb 1.449 0.000 2.418
Au 0.023 0.000 0.000
Sn 3.581 2.094 1.209
```

## Properties
Its space group is P3m1 (156). For the size of the total moment, the calculation gives 0.00 μB per cell. The calculation puts the uncorrected formation energy at -0.079 eV per atom. For the energy above the most stable polymorph in this dataset, the calculation gives 0.000 eV/atom.